A geometry-optimized Ti2Al2Pd5 structure, computed with GGA-PBE.

Summary:
total magnetization = 0.0 Bohr magnetons per cell
final energy = -5.9675 eV/atom
Fermi-level density of states = 11.56 states/eV/cell
V = 290 Å³/cell

a b c (Å): 6.735 6.473 7.391
angles (deg): 115.97 90.00 90.00
Positions (direct):
Ti 0.000 0.208 0.416
Ti 0.500 0.708 0.416
Ti 0.000 0.792 0.584
Ti 0.500 0.292 0.584
Al 0.643 0.859 0.000
Al 0.357 0.141 0.000
Al 0.143 0.641 0.000
Al 0.857 0.359 0.000
Pd 0.000 0.000 0.000
Pd 0.500 0.500 0.000
Pd 0.840 0.792 0.268
Pd 0.160 0.476 0.268
Pd 0.340 0.976 0.268
Pd 0.660 0.292 0.268
Pd 0.160 0.208 0.732
Pd 0.840 0.524 0.732
Pd 0.660 0.024 0.732
Pd 0.340 0.708 0.732

***

A geometry-optimized Ti3Al2Pd8 structure, computed with GGA-PBE.

Summary:
total magnetization = 1.4 Bohr magnetons per cell
final energy = -5.9666 eV/atom
Fermi-level density of states = 9.76 states/eV/cell
V = 217 Å³/cell

a b c (Å): 5.246 5.246 9.585
angles (deg): 74.12 74.12 60.00
Site moments in Bohr magnetons follow the coordinates.
Positions (direct):
Ti 0.000 0.000 0.000  1.11
Ti 0.809 0.809 0.572  -0.01
Ti 0.191 0.191 0.428  -0.01
Al 0.630 0.630 0.109  0.00
Al 0.370 0.370 0.891  0.00
Pd 0.717 0.717 0.848  0.00
Pd 0.283 0.283 0.152  0.00
Pd 0.222 0.724 0.331  0.01
Pd 0.724 0.222 0.331  0.01
Pd 0.724 0.724 0.331  0.01
Pd 0.276 0.778 0.669  0.01
Pd 0.778 0.276 0.669  0.01
Pd 0.276 0.276 0.669  0.01

***

A geometry-optimized Ti3AlPd12 structure, computed with GGA-PBE.

Summary:
total magnetization = 0.0 Bohr magnetons per cell
final energy = -6.2611 eV/atom
Fermi-level density of states = 3.32 states/eV/cell
V = 241 Å³/cell

a b c (Å): 3.922 3.922 15.689
angles (deg): 90.00 90.00 90.00
Positions (direct):
Ti 0.000 0.000 0.246
Ti 0.000 0.000 0.500
Ti 0.000 0.000 0.754
Al 0.000 0.000 0.000
Pd 0.500 0.500 0.000
Pd 0.500 0.500 0.251
Pd 0.500 0.500 0.500
Pd 0.500 0.500 0.749
Pd 0.500 0.000 0.126
Pd 0.500 0.000 0.376
Pd 0.500 0.000 0.624
Pd 0.500 0.000 0.874
Pd 0.000 0.500 0.126
Pd 0.000 0.500 0.376
Pd 0.000 0.500 0.624
Pd 0.000 0.500 0.874

***

A geometry-optimized TiAl5Pd4 structure, computed with GGA-PBE.

Summary:
total magnetization = 0.0 Bohr magnetons per cell
final energy = -5.5135 eV/atom
Fermi-level density of states = 4.92 states/eV/cell
V = 149 Å³/cell

a b c (Å): 3.033 3.033 16.204
angles (deg): 90.00 90.00 90.00
Positions (direct):
Ti 0.000 0.000 0.000
Al 0.500 0.500 0.113
Al 0.500 0.500 0.307
Al 0.500 0.500 0.500
Al 0.500 0.500 0.693
Al 0.500 0.500 0.887
Pd 0.000 0.000 0.210
Pd 0.000 0.000 0.403
Pd 0.000 0.000 0.597
Pd 0.000 0.000 0.790

***

A geometry-optimized Ti4AlPd5 structure, computed with GGA-PBE.

Summary:
total magnetization = 0.0 Bohr magnetons per cell
final energy = -6.5796 eV/atom
Fermi-level density of states = 10.14 states/eV/cell
V = 165 Å³/cell

a b c (Å): 4.861 6.305 6.305
angles (deg): 81.46 67.33 67.33
Positions (direct):
Ti 0.447 0.343 0.698
Ti 0.790 0.698 0.657
Ti 0.145 0.302 0.343
Ti 0.488 0.657 0.302
Al 0.168 0.000 0.000
Pd 0.791 0.382 0.950
Pd 0.174 0.950 0.618
Pd 0.742 0.050 0.382
Pd 0.124 0.618 0.050
Pd 0.640 0.000 0.000

***

A geometry-optimized TiAlPd6 structure, computed with GGA-PBE.

Summary:
total magnetization = 0.0 Bohr magnetons per cell
final energy = -5.9998 eV/atom
Fermi-level density of states = 3.65 states/eV/cell
V = 120 Å³/cell

a b c (Å): 3.926 3.926 7.795
angles (deg): 90.00 90.00 90.00
Positions (direct):
Ti 0.000 0.000 0.500
Al 0.000 0.000 0.000
Pd 0.500 0.500 0.000
Pd 0.500 0.500 0.500
Pd 0.500 0.000 0.250
Pd 0.500 0.000 0.750
Pd 0.000 0.500 0.250
Pd 0.000 0.500 0.750